# PBE FeIrOs2, optimized geometry
data_FeIrOs2
_space_group_name_H-M_alt 'P 1'
_space_group_IT_number 1
_cell_length_a 4.3131
_cell_length_b 4.3131
_cell_length_c 4.3131
_cell_angle_alpha 60.00
_cell_angle_beta 60.00
_cell_angle_gamma 60.00
loop_
_space_group_symop_operation_xyz
'x,y,z'
loop_
_atom_site_label
_atom_site_fract_x
_atom_site_fract_y
_atom_site_fract_z
Os1 0.7500 0.7500 0.7500
Os2 0.2500 0.2500 0.2500
Ir1 0.5000 0.5000 0.5000
Fe1 0.0000 0.0000 0.0000
# SG: Fm-3m, No. 225
# total energy: -0.3463 hartree per atom
# size of the total moment: 3.672 Bohr magnetons per cell
# energy of formation: 0.522 eV per atom
# distance to the lowest polymorph of the same formula: 1.951 eV/f.u.